[1]
This record from Alexandria describes a relaxed La2TaRu crystal. The functional is GGA-PBE.

a b c (Å): 3.4149 3.4149 28.6826
angles (deg): 90.00 90.00 120.00
Space group R-3m (No. 166, hexagonal axes)
One atom of each set of equivalent atoms:
La1 0.0000 0.0000 0.2415 x6
Ta1 0.0000 0.0000 0.0000 x3
Ru1 0.0000 0.0000 0.5000 x3

Results
Formation enthalpy at 0 K in eV/atom: 0.51
Relative energy among the computed polymorphs in eV per formula unit: 2.129
Calculated total energy in eV/cell: -86.89

[2]
This record from Alexandria describes a relaxed LaTa2Ru crystal. The functional is GGA-PBE.

a b c (Å): 3.2976 4.9728 9.6479
angles (deg): 90.00 90.00 90.00
Space group Cmm2 (No. 35)
One atom of each set of equivalent atoms:
La1 0.0000 0.0000 0.0000 x2
Ta1 0.0000 0.0000 0.5373 x2
Ta2 0.0000 0.5000 0.3041 x2
Ru1 0.0000 0.5000 0.7450 x2

Results
Formation enthalpy at 0 K in eV/atom: 0.20
Calculated total energy in eV/cell: -74.18

[3]
This record from Alexandria describes a relaxed LaTa2Ru crystal. The functional is GGA-PBE.

a b c (Å): 3.0657 4.7109 5.6139
angles (deg): 90.00 103.00 90.00
Space group P2/m (No. 10)
One atom of each set of equivalent atoms:
La1 0.0000 0.0000 0.0000 x1
Ta1 0.2743 0.5000 0.7246 x2
Ru1 0.5000 0.0000 0.5000 x1

Results
Formation enthalpy at 0 K in eV/atom: 0.34
Calculated total energy in eV/cell: -36.54